No. 1
Computed, not measured: a geometry-optimized AcPuPd2 structure at the PBE-GGA level of DFT.

Cell lengths 3.6863, 3.6863, 7.2495 Å; angles 90.00, 90.00, 90.00 degrees
Space group P4/mmm (No. 123)
Symmetry-distinct sites (fractional):
Ac1 0.0000 0.0000 0.0000 x1
Pu1 0.0000 0.0000 0.5000 x1
Pd1 0.5000 0.5000 0.2761 x2

Output
total energy	-7.729	eV per atom

No. 2
Computed, not measured: a geometry-optimized KPrMnCl6 structure at the PBE-GGA level of DFT.

Cell lengths 6.6533, 6.6533, 14.0552 Å; angles 90.00, 90.00, 120.00 degrees
Space group P-31c (No. 163)
Symmetry-distinct sites (fractional):
K1 0.0000 0.0000 0.0000 x2
Pr1 0.3333 0.6667 0.2500 x2
Mn1 0.3333 0.6667 0.7500 x2
Cl1 0.0452 0.3846 0.6469 x12

Output
total energy	-4.457	eV per atom
E_form (uncorrected)	-1.554	eV per atom

No. 3
Computed, not measured: a geometry-optimized NaSiIO2 structure at the PBE-GGA level of DFT.

Cell lengths 4.2876, 4.2876, 5.7929 Å; angles 90.00, 90.00, 90.00 degrees
Space group P4/mmm (No. 123)
Symmetry-distinct sites (fractional):
Na1 0.0000 0.0000 0.0000 x1
Si1 0.5000 0.5000 0.5000 x1
I1 0.0000 0.0000 0.5000 x1
O1 0.0000 0.5000 0.0000 x2

Output
total energy	-3.067	eV per atom
E_form (uncorrected)	0.574	eV per atom

No. 4
Computed, not measured: a geometry-optimized BePd2Au structure at the PBE-GGA level of DFT.

Cell lengths 4.1190, 4.1190, 12.3059 Å; angles 90.00, 90.00, 120.00 degrees
Space group R-3m (No. 166, hexagonal axes)
Symmetry-distinct sites (fractional):
Be1 0.0000 0.0000 0.0000 x3
Pd1 0.0000 0.0000 0.2738 x6
Au1 0.0000 0.0000 0.5000 x3

Output
total energy	-4.509	eV per atom

No. 5
Computed, not measured: a geometry-optimized Y2WCl structure at the PBE-GGA level of DFT.

Cell lengths 4.0016, 5.2519, 8.7256 Å; angles 90.00, 90.00, 90.00 degrees
Space group Cmmm (No. 65)
Symmetry-distinct sites (fractional):
Y1 0.0000 0.0000 0.2372 x4
W1 0.0000 0.5000 0.0000 x2
Cl1 0.0000 0.5000 0.5000 x2

Output
total energy	-7.189	eV per atom
E_form (uncorrected)	-0.257	eV per atom

No. 6
Computed, not measured: a geometry-optimized RbCoI2 structure at the PBE-GGA level of DFT.

Cell lengths 4.2375, 4.2375, 29.6101 Å; angles 90.00, 90.00, 120.00 degrees
Space group R-3m (No. 166, hexagonal axes)
Symmetry-distinct sites (fractional):
Rb1 0.0000 0.0000 0.0000 x3
Co1 0.0000 0.0000 0.5000 x3
I1 0.0000 0.0000 0.1176 x6

Output
total energy	-2.947	eV per atom
E_form (uncorrected)	-0.153	eV per atom

No. 7
Computed, not measured: a geometry-optimized FeRu2 structure at the PBE-GGA level of DFT.

Cell lengths 2.6677, 2.6677, 11.0417 Å; angles 90.00, 90.00, 90.00 degrees
Space group I4/mmm (No. 139)
Symmetry-distinct sites (fractional):
Fe1 0.0000 0.0000 0.0000 x2
Ru1 0.0000 0.0000 0.3365 x4

Output
total energy	-8.855	eV per atom

No. 8
Computed, not measured: a geometry-optimized CeTi2CoN4 structure at the PBE-GGA level of DFT.

Cell lengths 3.1162, 10.6049, 10.5519 Å; angles 90.00, 90.00, 90.00 degrees
Space group Cmcm (No. 63)
Symmetry-distinct sites (fractional):
Ce1 0.0000 0.1044 0.2500 x4
Ti1 0.0000 0.3684 0.0495 x8
Co1 0.0000 0.1585 0.7500 x4
N1 0.0000 0.0000 0.0000 x4
N2 0.0000 0.2702 0.6112 x8
N3 0.0000 0.4383 0.2500 x4

Output
total energy	-9.008	eV per atom
E_form (uncorrected)	-1.241	eV per atom

No. 9
Computed, not measured: a geometry-optimized Tc5H4W structure at the PBE-GGA level of DFT.

Cell lengths 12.4020, 2.8245, 5.6585 Å; angles 90.00, 103.10, 90.00 degrees
Space group C2/m (No. 12)
Symmetry-distinct sites (fractional):
Tc1 0.0000 0.0000 0.0000 x2
Tc2 0.1680 0.5000 0.3214 x4
Tc3 0.1708 0.5000 0.8509 x4
H1 0.0013 0.5000 0.7600 x4
H2 0.1695 0.0000 0.5818 x4
W1 0.0000 0.0000 0.5000 x2

Output
total energy	-7.770	eV per atom

No. 10
Computed, not measured: a geometry-optimized SnPbIO2 structure at the PBE-GGA level of DFT.

Cell lengths 5.7794, 13.8202, 5.7016 Å; angles 90.00, 90.00, 90.00 degrees
Space group Cmcm (No. 63)
Symmetry-distinct sites (fractional):
Sn1 0.0000 0.0660 0.2500 x4
Pb1 0.0000 0.4000 0.2500 x4
I1 0.0000 0.2504 0.7500 x4
O1 0.2294 0.0000 0.0000 x8

Output
total energy	-4.883	eV per atom
E_form (uncorrected)	-1.047	eV per atom

No. 11
Computed, not measured: a geometry-optimized BaMnSe2 structure at the PBE-GGA level of DFT.

Cell lengths 5.0381, 5.0381, 23.6513 Å; angles 90.00, 90.00, 120.00 degrees
Space group R-3m (No. 166, hexagonal axes)
Symmetry-distinct sites (fractional):
Ba1 0.0000 0.0000 0.0000 x3
Mn1 0.0000 0.0000 0.5000 x3
Se1 0.0000 0.0000 0.4010 x6

Output
total energy	-5.434	eV per atom
E_form (uncorrected)	-0.918	eV per atom